No. 1
! PBE-GGA ErLuMg, optimized geometry; values from VASP
! **Formation enthalpy at 0 K**: -0.08 eV/f.u.
! **Space-group type**: I4mm
! **Energy above the most stable polymorph in this dataset**: 0.000 eV/f.u.
&SYSTEM
  ibrav = 0, nat = 3, ntyp = 3
/
ATOMIC_SPECIES
Er 167.26 Er.upf
Lu 174.97 Lu.upf
Mg 24.30 Mg.upf
CELL_PARAMETERS angstrom
-1.758 1.758 6.784
1.758 -1.758 6.784
1.758 1.758 -6.784
ATOMIC_POSITIONS angstrom
Er 0.000 0.000 0.000
Lu 0.000 0.000 9.149
Mg 0.000 0.000 4.557

No. 2
! PBE-GGA Ti2TlFe, optimized geometry; values from VASP
! **Formation enthalpy at 0 K**: 1.22 eV/f.u.
! **Space-group type**: I-42d
! **Energy above the most stable polymorph in this dataset**: 1.474 eV/f.u.
&SYSTEM
  ibrav = 0, nat = 8, ntyp = 3
/
ATOMIC_SPECIES
Ti 47.87 Ti.upf
Tl 204.38 Tl.upf
Fe 55.84 Fe.upf
CELL_PARAMETERS angstrom
-3.591 3.591 2.717
3.591 -3.591 2.717
3.591 3.591 -2.717
ATOMIC_POSITIONS angstrom
Ti 5.386 1.349 -0.679
Ti 1.349 1.795 0.679
Ti -1.795 2.242 2.038
Ti 2.242 1.795 3.396
Tl 3.591 0.000 1.358
Tl 0.000 0.000 2.717
Fe 0.000 0.000 0.000
Fe 0.000 3.591 1.358

No. 3
! PBE-GGA MgTlHgSb, optimized geometry; values from VASP
! **Energy relative to the elements, uncorrected**: -0.067 eV/atom
! **Space-group type**: F-43m
&SYSTEM
  ibrav = 0, nat = 4, ntyp = 4
/
ATOMIC_SPECIES
Mg 24.30 Mg.upf
Tl 204.38 Tl.upf
Hg 200.59 Hg.upf
Sb 121.76 Sb.upf
CELL_PARAMETERS angstrom
0.000 3.789 3.789
3.789 0.000 3.789
3.789 3.789 0.000
ATOMIC_POSITIONS angstrom
Mg 0.000 0.000 0.000
Tl 3.789 3.789 3.789
Hg 1.895 1.895 1.895
Sb 5.684 5.684 5.684

| no. | spin magnetization (μB per atom) | VASP energy (eV per formula unit) |
| --- | --- | --- |
| 1 | 0.28 | -10.755 |
| 2 | 0.00 | -25.399 |
| 3 | 0.00 | -8.655 |